{
  "formula": "InTcClO4",
  "functional": "PBE",
  "state": "relaxed",
  "sg": "C2/m, No. 12",
  "total_energy_ev_per_atom": -6.21,
  "raw_formation_energy_ev_per_atom": -1.25,
  "cell": [[-3.185, -4.574, 1.943], [3.669, -3.350, 3.187], [-1.827, 2.578, 7.530]],
  "species": ["In", "In", "Tc", "Tc", "Cl", "Cl", "O", "O", "O", "O", "O", "O", "O", "O"],
  "fractional_positions": [[0.204, 0.204, 0.943], [0.796, 0.796, 0.057], [0.616, 0.616, 0.758], [0.384, 0.384, 0.242], [0.998, 0.998, 0.219], [0.002, 0.002, 0.781], [0.284, 0.284, 0.442], [0.716, 0.716, 0.558], [0.139, 0.501, 0.114], [0.575, 0.575, 0.223], [0.499, 0.861, 0.886], [0.501, 0.139, 0.114], [0.425, 0.425, 0.777], [0.861, 0.499, 0.886]]
}